(1)
# BePb2Br

A relaxed BePb2Br crystal (GGA-PBE, Alexandria via LeMat-Bulk).

Results
- raw total energy (eV per atom) = -2.949
- total magnetic moment (μB/cell) = 0.0

Cell lengths 6.110, 6.110, 6.110 Å; angles 141.81, 125.57, 68.43 degrees
Fractional positions:
Be 0.000 0.000 0.000
Pb 0.170 0.670 0.500
Pb 0.830 0.330 0.500
Br 0.500 0.500 0.000

(2)
# KV

A relaxed KV crystal (GGA-PBE, Alexandria via LeMat-Bulk).

Results
- raw total energy (eV per atom) = -4.086
- total magnetic moment (μB/cell) = 0.4

Cell lengths 3.997, 16.155, 6.598 Å; angles 90.00, 90.00, 90.00 degrees
Fractional positions:
K 0.250 0.053 0.250
K 0.250 0.447 0.250
K 0.250 0.750 0.748
K 0.750 0.250 0.252
K 0.750 0.553 0.750
K 0.750 0.947 0.750
V 0.250 0.250 0.752
V 0.250 0.681 0.248
V 0.250 0.819 0.248
V 0.750 0.181 0.752
V 0.750 0.319 0.752
V 0.750 0.750 0.248

(3)
# Ho2TlH2

A relaxed Ho2TlH2 crystal (GGA-PBE, Alexandria via LeMat-Bulk).

Results
- raw total energy (eV per atom) = -4.232
- total magnetic moment (μB/cell) = 0.0

Cell lengths 6.540, 6.540, 6.540 Å; angles 146.24, 146.24, 48.49 degrees
Fractional positions:
Ho 0.153 0.153 0.000
Ho 0.847 0.847 0.000
Tl 0.500 0.500 0.000
H 0.250 0.750 0.500
H 0.750 0.250 0.500

(4)
# Tb3Tm4Cd

A relaxed Tb3Tm4Cd crystal (GGA-PBE, Alexandria via LeMat-Bulk).

Results
- raw total energy (eV per atom) = -4.135
- total magnetic moment (μB/cell) = 0.0

Cell lengths 11.104, 6.961, 6.110 Å; angles 90.00, 90.00, 90.00 degrees
Fractional positions:
Tb 0.000 0.128 0.000
Tb 0.238 0.119 0.351
Tb 0.262 0.881 0.851
Tb 0.500 0.872 0.500
Tb 0.738 0.881 0.851
Tb 0.762 0.119 0.351
Tm 0.000 0.383 0.534
Tm 0.000 0.629 0.012
Tm 0.243 0.625 0.360
Tm 0.257 0.375 0.860
Tm 0.500 0.371 0.512
Tm 0.500 0.617 0.034
Tm 0.743 0.375 0.860
Tm 0.757 0.625 0.360
Cd 0.000 0.870 0.524
Cd 0.500 0.130 0.024

(5)
# BaV3Ge

A relaxed BaV3Ge crystal (GGA-PBE, Alexandria via LeMat-Bulk).

Results
- raw total energy (eV per atom) = -4.341
- total magnetic moment (μB/cell) = 2.1

Cell lengths 4.817, 4.817, 4.817 Å; angles 90.00, 90.00, 90.00 degrees
Fractional positions:
Ba 0.000 0.000 0.000
V 0.000 0.000 0.500
V 0.000 0.500 0.000
V 0.500 0.000 0.000
Ge 0.500 0.500 0.500

(6)
# Dy3B2PRh9

A relaxed Dy3B2PRh9 crystal (GGA-PBE, Alexandria via LeMat-Bulk).

Results
- raw total energy (eV per atom) = -7.405
- total magnetic moment (μB/cell) = 0.0

Cell lengths 6.050, 6.050, 7.406 Å; angles 90.00, 90.00, 120.00 degrees
Fractional positions:
Dy 0.000 0.000 0.000
Dy 0.333 0.667 0.670
Dy 0.667 0.333 0.330
B 0.333 0.667 0.152
B 0.667 0.333 0.848
P 0.000 0.000 0.500
Rh 0.000 0.500 0.000
Rh 0.174 0.347 0.326
Rh 0.174 0.826 0.326
Rh 0.347 0.174 0.674
Rh 0.500 0.000 0.000
Rh 0.500 0.500 0.000
Rh 0.653 0.826 0.326
Rh 0.826 0.174 0.674
Rh 0.826 0.653 0.674

(7)
# TiCrCu2

A relaxed TiCrCu2 crystal (GGA-PBE, Alexandria via LeMat-Bulk).

Results
- raw total energy (eV per atom) = -5.945
- total magnetic moment (μB/cell) = 3.5

Cell lengths 9.636, 9.636, 9.636 Å; angles 159.13, 159.13, 29.68 degrees
Fractional positions:
Ti 0.000 0.000 0.000
Ti 0.750 0.250 0.500
Cr 0.250 0.750 0.500
Cr 0.500 0.500 0.000
Cu 0.133 0.625 0.008
Cu 0.375 0.383 0.508
Cu 0.617 0.125 0.992
Cu 0.875 0.867 0.492

(8)
# Fe2AuBr

A relaxed Fe2AuBr crystal (GGA-PBE, Alexandria via LeMat-Bulk).

Results
- raw total energy (eV per atom) = -5.008
- total magnetic moment (μB/cell) = 6.0

Cell lengths 3.085, 3.085, 6.901 Å; angles 90.00, 90.00, 90.00 degrees
Fractional positions:
Fe 0.000 0.000 0.244
Fe 0.000 0.000 0.756
Au 0.500 0.500 0.000
Br 0.500 0.500 0.500

(9)
# NpCrC

A relaxed NpCrC crystal (GGA-PBE, Alexandria via LeMat-Bulk).

Results
- raw total energy (eV per atom) = -10.221
- total magnetic moment (μB/cell) = 2.8

Cell lengths 5.014, 5.014, 5.014 Å; angles 146.94, 146.94, 47.45 degrees
Fractional positions:
Np 0.000 0.000 0.000
Cr 0.734 0.734 0.000
C 0.298 0.298 0.000

(10)
# Zn4Ga

A relaxed Zn4Ga crystal (GGA-PBE, Alexandria via LeMat-Bulk).

Results
- raw total energy (eV per atom) = -1.221
- total magnetic moment (μB/cell) = 0.0

Cell lengths 4.848, 4.848, 4.848 Å; angles 90.00, 90.00, 90.00 degrees
Fractional positions:
Zn 0.000 0.000 0.000
Zn 0.000 0.500 0.500
Zn 0.500 0.000 0.500
Zn 0.500 0.500 0.000
Ga 0.500 0.500 0.500

(11)
# Li2PuZn2Ge2

A relaxed Li2PuZn2Ge2 crystal (GGA-PBE, Alexandria via LeMat-Bulk).

Results
- raw total energy (eV per atom) = -4.643
- total magnetic moment (μB/cell) = 5.2

Cell lengths 8.148, 8.148, 8.148 Å; angles 30.28, 30.28, 30.28 degrees
Fractional positions:
Li 0.144 0.144 0.144
Li 0.856 0.856 0.856
Pu 0.000 0.000 0.000
Zn 0.438 0.438 0.438
Zn 0.562 0.562 0.562
Ge 0.260 0.260 0.260
Ge 0.740 0.740 0.740

(12)
# Ca4PuS5

A relaxed Ca4PuS5 crystal (GGA-PBE, Alexandria via LeMat-Bulk).

Results
- raw total energy (eV per atom) = -6.345
- total magnetic moment (μB/cell) = 5.9

Cell lengths 14.601, 14.601, 14.601 Å; angles 164.18, 164.18, 22.44 degrees
Fractional positions:
Ca 0.101 0.101 0.000
Ca 0.300 0.300 0.000
Ca 0.700 0.700 0.000
Ca 0.899 0.899 0.000
Pu 0.500 0.500 0.000
S 0.000 0.000 0.000
S 0.200 0.200 0.000
S 0.400 0.400 0.000
S 0.600 0.600 0.000
S 0.800 0.800 0.000

(13)
# CoRh2S4

A relaxed CoRh2S4 crystal (GGA-PBE, Alexandria via LeMat-Bulk).

Results
- raw total energy (eV per atom) = -5.205
- total magnetic moment (μB/cell) = 0.0

Cell lengths 6.487, 6.487, 6.487 Å; angles 138.72, 138.72, 59.80 degrees
Fractional positions:
Co 0.000 0.000 0.000
Rh 0.384 0.384 0.000
Rh 0.616 0.616 0.000
S 0.000 0.500 0.500
S 0.193 0.193 0.000
S 0.500 0.000 0.500
S 0.807 0.807 0.000

(14)
# USe3O9

A relaxed USe3O9 crystal (GGA-PBE, Alexandria via LeMat-Bulk).

Results
- raw total energy (eV per atom) = -6.532
- total magnetic moment (μB/cell) = 0.0

Cell lengths 8.480, 8.480, 11.719 Å; angles 118.21, 118.21, 42.92 degrees
Fractional positions:
U 0.005 0.995 0.500
U 0.995 0.005 0.000
Se 0.128 0.433 0.679
Se 0.417 0.565 0.242
Se 0.433 0.128 0.179
Se 0.565 0.417 0.742
Se 0.592 0.867 0.900
Se 0.867 0.592 0.400
O 0.116 0.214 0.589
O 0.174 0.775 0.874
O 0.214 0.116 0.089
O 0.234 0.822 0.627
O 0.239 0.734 0.127
O 0.261 0.723 0.360
O 0.311 0.371 0.131
O 0.371 0.311 0.631
O 0.573 0.753 0.349
O 0.659 0.886 0.083
O 0.723 0.261 0.860
O 0.734 0.239 0.627
O 0.753 0.573 0.849
O 0.773 0.897 0.905
O 0.775 0.174 0.374
O 0.822 0.234 0.127
O 0.886 0.659 0.583
O 0.897 0.773 0.405

(15)
# ErTm3Ni8

A relaxed ErTm3Ni8 crystal (GGA-PBE, Alexandria via LeMat-Bulk).

Results
- raw total energy (eV per atom) = -5.845
- total magnetic moment (μB/cell) = 0.0

Cell lengths 8.719, 8.719, 8.719 Å; angles 33.48, 33.48, 33.48 degrees
Fractional positions:
Er 0.000 0.000 0.000
Tm 0.125 0.125 0.125
Tm 0.500 0.500 0.500
Tm 0.625 0.625 0.625
Ni 0.062 0.062 0.562
Ni 0.062 0.562 0.062
Ni 0.063 0.563 0.563
Ni 0.312 0.312 0.312
Ni 0.562 0.062 0.062
Ni 0.563 0.063 0.563
Ni 0.563 0.563 0.063
Ni 0.812 0.812 0.812

(16)
# Mn5Fe4

A relaxed Mn5Fe4 crystal (GGA-PBE, Alexandria via LeMat-Bulk).

Results
- raw total energy (eV per atom) = -8.750
- total magnetic moment (μB/cell) = 0.2

Cell lengths 6.819, 6.819, 4.889 Å; angles 90.00, 90.00, 120.00 degrees
Fractional positions:
Mn 0.000 0.335 0.250
Mn 0.000 0.665 0.750
Mn 0.333 0.667 0.000
Mn 0.333 0.667 0.500
Mn 0.335 0.000 0.250
Mn 0.335 0.335 0.750
Mn 0.665 0.000 0.750
Mn 0.665 0.665 0.250
Mn 0.667 0.333 0.000
Mn 0.667 0.333 0.500
Fe 0.000 0.000 0.000
Fe 0.000 0.000 0.500
Fe 0.000 0.332 0.750
Fe 0.000 0.668 0.250
Fe 0.332 0.000 0.750
Fe 0.332 0.332 0.250
Fe 0.668 0.000 0.250
Fe 0.668 0.668 0.750

(17)
# KMnP2Pt4

A relaxed KMnP2Pt4 crystal (GGA-PBE, Alexandria via LeMat-Bulk).

Results
- raw total energy (eV per atom) = -6.118
- total magnetic moment (μB/cell) = 4.0

Cell lengths 4.019, 4.019, 9.822 Å; angles 90.00, 90.00, 90.00 degrees
Fractional positions:
K 0.000 0.000 0.000
Mn 0.000 0.000 0.500
P 0.500 0.500 0.201
P 0.500 0.500 0.799
Pt 0.000 0.500 0.325
Pt 0.000 0.500 0.675
Pt 0.500 0.000 0.325
Pt 0.500 0.000 0.675

(18)
# CoPW2

A relaxed CoPW2 crystal (GGA-PBE, Alexandria via LeMat-Bulk).

Results
- raw total energy (eV per atom) = -9.512
- total magnetic moment (μB/cell) = 0.8

Cell lengths 2.867, 2.867, 6.661 Å; angles 90.00, 90.00, 90.00 degrees
Fractional positions:
Co 0.000 0.000 0.000
P 0.500 0.500 0.204
W 0.000 0.000 0.421
W 0.500 0.500 0.741

(19)
# Cs2PaPb2Se6

A relaxed Cs2PaPb2Se6 crystal (GGA-PBE, Alexandria via LeMat-Bulk).

Results
- raw total energy (eV per atom) = -4.608
- total magnetic moment (μB/cell) = 0.0

Cell lengths 7.430, 7.430, 8.983 Å; angles 98.63, 98.63, 119.27 degrees
Fractional positions:
Cs 0.174 0.826 0.000
Cs 0.826 0.174 0.000
Pa 0.000 0.000 0.500
Pb 0.331 0.669 0.500
Pb 0.669 0.331 0.500
Se 0.068 0.376 0.689
Se 0.240 0.240 0.314
Se 0.376 0.068 0.689
Se 0.624 0.932 0.311
Se 0.760 0.760 0.686
Se 0.932 0.624 0.311

(20)
# PmCo6B4

A relaxed PmCo6B4 crystal (GGA-PBE, Alexandria via LeMat-Bulk).

Results
- raw total energy (eV per atom) = -6.964
- total magnetic moment (μB/cell) = 1.5

Cell lengths 6.166, 6.166, 3.313 Å; angles 90.00, 90.00, 120.00 degrees
Fractional positions:
Pm 0.000 0.000 0.000
Co 0.068 0.534 0.000
Co 0.411 0.205 0.500
Co 0.466 0.534 0.000
Co 0.466 0.932 0.000
Co 0.795 0.205 0.500
Co 0.795 0.589 0.500
B 0.220 0.439 0.500
B 0.220 0.780 0.500
B 0.561 0.780 0.500
B 0.667 0.333 0.000